# 1
An optimized crystal structure of Pr4MgIn12. Source: Alexandria via LeMat-Bulk, functional GGA-PBE.

Lattice parameters (Å, degrees): 8.370 8.370 8.370 109.47 109.47 109.47
Fractional positions:
1 Pr 0.000 0.000 0.500
2 Pr 0.000 0.500 0.000
3 Pr 0.500 0.000 0.000
4 Pr 0.500 0.500 0.500
5 Mg 0.000 0.000 0.000
6 In 0.000 0.296 0.296
7 In 0.000 0.704 0.704
8 In 0.250 0.500 0.750
9 In 0.250 0.750 0.500
10 In 0.296 0.000 0.296
11 In 0.296 0.296 0.000
12 In 0.500 0.250 0.750
13 In 0.500 0.750 0.250
14 In 0.704 0.000 0.704
15 In 0.704 0.704 0.000
16 In 0.750 0.250 0.500
17 In 0.750 0.500 0.250

The symmetry is Im-3m (229). The calculation puts the total energy at -3.55 eV per atom. The value obtained for the energy relative to the elements is -0.400 eV per atom.

# 2
An optimized crystal structure of V4PdRh3. Source: Alexandria via LeMat-Bulk, functional GGA-PBE.

Lattice parameters (Å, degrees): 8.752 5.351 4.753 90.00 90.00 90.00
Fractional positions:
1 V 0.000 0.135 0.000
2 V 0.000 0.651 0.016
3 V 0.244 0.148 0.317
4 V 0.256 0.852 0.817
5 V 0.500 0.349 0.516
6 V 0.500 0.865 0.500
7 V 0.744 0.852 0.817
8 V 0.756 0.148 0.317
9 Pd 0.000 0.889 0.504
10 Pd 0.500 0.111 0.004
11 Rh 0.000 0.392 0.491
12 Rh 0.245 0.357 0.826
13 Rh 0.255 0.643 0.326
14 Rh 0.500 0.608 0.991
15 Rh 0.745 0.643 0.326
16 Rh 0.755 0.357 0.826

The symmetry is Pmn2_1 (31). The calculation puts the total energy at -8.22 eV per atom. The value obtained for the energy relative to the elements is -0.252 eV per atom.

# 3
An optimized crystal structure of DyPuCdOs. Source: Alexandria via LeMat-Bulk, functional GGA-PBE.

Lattice parameters (Å, degrees): 3.301 3.301 8.470 90.00 90.00 90.00
Fractional positions:
1 Dy 0.000 0.000 0.000
2 Pu 0.000 0.000 0.587
3 Cd 0.500 0.500 0.291
4 Os 0.500 0.500 0.792

The symmetry is P4mm (99). Its distance to the lowest polymorph of the same formula is 0 meV/atom. The calculation puts the total energy at -7.93 eV per atom. The value obtained for the energy relative to the elements is -0.160 eV per atom.

# 4
An optimized crystal structure of PmAlO. Source: Alexandria via LeMat-Bulk, functional GGA-PBE.

Lattice parameters (Å, degrees): 3.067 3.067 11.996 90.00 90.00 120.00
Fractional positions:
1 Pm 0.000 0.000 0.227
2 Pm 0.000 0.000 0.773
3 Al 0.000 0.000 0.500
4 Al 0.667 0.333 0.000
5 O 0.667 0.333 0.403
6 O 0.667 0.333 0.597

The raw formation energy comes out at -1.195 eV/atom. The symmetry is P-6m2 (187). The calculation puts the total energy at -5.68 eV per atom.

# 5
An optimized crystal structure of ReCl2. Source: Alexandria via LeMat-Bulk, functional GGA-PBE.

Lattice parameters (Å, degrees): 5.207 5.207 5.207 106.39 106.39 115.83
Fractional positions:
1 Re 0.250 0.250 0.000
2 Re 0.750 0.750 0.000
3 Cl 0.193 0.693 0.886
4 Cl 0.307 0.193 0.500
5 Cl 0.693 0.807 0.500
6 Cl 0.807 0.307 0.114

The raw formation energy comes out at 0.666 eV/atom. The symmetry is I4/mcm (140). Its distance to the lowest polymorph of the same formula is 918 meV/atom. The calculation puts the total energy at -4.71 eV per atom.

# 6
An optimized crystal structure of Pm4NdHo10. Source: Alexandria via LeMat-Bulk, functional GGA-PBE.

Lattice parameters (Å, degrees): 8.810 8.810 8.810 112.32 112.32 103.92
Fractional positions:
1 Pm 0.052 0.714 0.766
2 Pm 0.286 0.052 0.339
3 Pm 0.714 0.948 0.661
4 Pm 0.948 0.286 0.234
5 Nd 0.500 0.500 0.000
6 Ho 0.114 0.208 0.659
7 Ho 0.208 0.549 0.095
8 Ho 0.250 0.750 0.500
9 Ho 0.451 0.545 0.659
10 Ho 0.455 0.114 0.905
11 Ho 0.545 0.886 0.095
12 Ho 0.549 0.455 0.341
13 Ho 0.750 0.250 0.500
14 Ho 0.792 0.451 0.905
15 Ho 0.886 0.792 0.341

The symmetry is I4/m (87). The calculation puts the total energy at -4.19 eV per atom. The value obtained for the energy relative to the elements is 0.449 eV per atom.

# 7
An optimized crystal structure of MgTlOs2. Source: Alexandria via LeMat-Bulk, functional GGA-PBE.

Lattice parameters (Å, degrees): 6.229 6.229 6.229 153.23 136.35 51.94
Fractional positions:
1 Mg 0.000 0.000 0.000
2 Tl 0.307 0.807 0.500
3 Os 0.540 0.540 0.000
4 Os 0.723 0.223 0.500

The symmetry is Imm2 (44). The calculation puts the total energy at -5.98 eV per atom. The value obtained for the energy relative to the elements is 0.626 eV per atom.

# 8
An optimized crystal structure of Li2MgHg. Source: Alexandria via LeMat-Bulk, functional GGA-PBE.

Lattice parameters (Å, degrees): 3.403 3.515 6.336 90.00 90.00 90.00
Fractional positions:
1 Li 0.000 0.000 0.228
2 Li 0.000 0.000 0.772
3 Mg 0.500 0.500 0.500
4 Hg 0.500 0.500 0.000

The symmetry is Pmmm (47). Its distance to the lowest polymorph of the same formula is 35 meV/atom. The calculation puts the total energy at -1.67 eV per atom. The value obtained for the energy relative to the elements is -0.239 eV per atom.